The following is a meta-GGA SCAN calculation of a PBEsol-optimized structure of KZr, from Alexandria.

As for the formation energy: 1311 meV per atom. The mass density comes out at 2.45 g/cm³. The energy above the lowest structure with this stoichiometry comes out at 0.8601 eV per atom. As for the size of the total moment: 0.00 μB/cell.

Cell: 6.3740 6.3740 5.0143 Å, 90.00 90.00 120.00°
Sites, in units of the cell vectors:
1 K 0.3333 0.6667 0.2500
2 K 0.6667 0.3333 0.7500
3 Zr 0.0000 0.0000 0.0000
4 Zr 0.0000 0.0000 0.5000